No. 1
A plane-wave DFT calculation with PBE-GGA was carried out for a relaxed CaTl2Cl crystal.

The structure in POSCAR format:
```
CaTl2Cl
1.0
6.7450 0.0000 0.0000
0.0000 3.9684 -0.0146
0.0000 0.0755 4.6031
Tl Ca Cl
2 1 1
direct
0.0000 0.0008 0.0062
0.0000 0.4992 0.4938
0.5000 0.2500 0.2500
0.5000 0.7500 0.7500
```

Properties
ΔE_f (raw), eV per atom: -0.6714
Energy above the most stable polymorph in this dataset, meV per atom: 167
SG: P2/m, No. 10
Total DFT energy (no corrections), eV per atom: -2.817

=====

No. 2
A plane-wave DFT calculation with PBE-GGA was carried out for a relaxed BiSb12Ir4 crystal.

The structure in POSCAR format:
```
BiSb12Ir4
1.0
-3.5015 -5.0643 5.3978
-5.2846 1.6312 -6.0378
6.6958 -3.5366 -3.1147
Bi Sb Ir
1 12 4
direct
0.0000 0.0000 0.0000
0.8468 0.3365 0.1833
0.3365 0.4897 0.1532
0.8167 0.1532 0.6635
0.3365 0.1833 0.8468
0.1833 0.8468 0.3365
0.6635 0.5103 0.8468
0.4897 0.1532 0.3365
0.5103 0.8468 0.6635
0.6635 0.8167 0.1532
0.8468 0.6635 0.5103
0.1532 0.3365 0.4897
0.1532 0.6635 0.8167
0.0000 0.5000 0.0000
0.5000 0.0000 0.0000
0.5000 0.5000 0.5000
0.0000 0.0000 0.5000
```

Properties
ΔE_f (raw), eV per atom: -0.2431
SG: Im-3, No. 204
Total DFT energy (no corrections), eV per atom: -5.466

=====

No. 3
A plane-wave DFT calculation with PBE-GGA was carried out for a relaxed Dy4ScSb5 crystal.

The structure in POSCAR format:
```
Dy4ScSb5
1.0
4.3502 0.0000 0.0000
0.0000 4.3502 0.0000
-2.1751 -2.1751 15.3371
Dy Sc Sb
4 1 5
direct
0.4007 0.4007 0.8014
0.8014 0.8014 0.6028
0.1986 0.1986 0.3972
0.5993 0.5993 0.1986
0.0000 0.0000 0.0000
0.0969 0.0969 0.1938
0.5000 0.5000 0.0000
0.9031 0.9031 0.8062
0.2999 0.2999 0.5998
0.7001 0.7001 0.4002
```

Properties
ΔE_f (raw), eV per atom: -1.0808
SG: I4/mmm, No. 139
Total DFT energy (no corrections), eV per atom: -5.616

=====

No. 4
A plane-wave DFT calculation with PBE-GGA was carried out for a relaxed Pu3PaZn8 crystal.

The structure in POSCAR format:
```
Pu3PaZn8
1.0
-0.0318 -0.8960 5.4341
-0.9023 -4.1693 -3.4837
8.4041 -1.6347 -0.2203
Pu Pa Zn
3 1 8
direct
0.6667 0.3333 0.4399
0.6667 0.3333 0.0664
0.0000 0.0000 0.9299
0.0000 0.0000 0.5630
0.3333 0.6667 0.5002
0.3333 0.6667 0.0002
0.5005 0.0009 0.7510
0.5005 0.4995 0.7510
0.9991 0.4995 0.7510
0.1661 0.3321 0.2492
0.1661 0.8339 0.2492
0.6679 0.8339 0.2492
```

Properties
Energy relative to the elements, eV per atom: -0.123
SG: P3m1, No. 156
Total DFT energy (no corrections), eV per atom: -5.347

=====

No. 5
A plane-wave DFT calculation with PBE-GGA was carried out for a relaxed V12Cr6N crystal.

The structure in POSCAR format:
```
V12Cr6N
1.0
6.4441 -0.1563 -0.1873
-1.1315 6.3459 -0.1873
-1.1315 -1.3182 6.2103
V Cr N
12 6 1
direct
0.8230 0.5697 0.5288
0.5288 0.8230 0.5697
0.5697 0.5288 0.8230
0.1770 0.4303 0.4712
0.4712 0.1770 0.4303
0.4303 0.4712 0.1770
0.0340 0.0503 0.3180
0.9497 0.6819 0.9660
0.6819 0.9660 0.9497
0.9660 0.9497 0.6819
0.0503 0.3180 0.0340
0.3180 0.0340 0.0503
0.6355 0.8510 0.2610
0.7390 0.3645 0.1490
0.1490 0.7390 0.3645
0.3645 0.1490 0.7390
0.2610 0.6355 0.8510
0.8510 0.2610 0.6355
0.0000 0.0000 0.0000
```

Properties
ΔE_f (raw), eV per atom: 0.2304
SG: R-3, No. 148
Total DFT energy (no corrections), eV per atom: -9.006

=====

No. 6
A plane-wave DFT calculation with PBE-GGA was carried out for a relaxed Sm6HoCd2 crystal.

The structure in POSCAR format:
```
Sm6HoCd2
1.0
-4.9325 3.7391 0.2335
0.1481 0.8061 9.6533
5.1842 7.9247 2.0447
Sm Ho Cd
12 2 4
direct
0.4915 0.6840 0.4281
0.0085 0.5719 0.3160
0.5085 0.3160 0.5719
0.9915 0.4281 0.6840
0.6627 0.0958 0.3515
0.8373 0.6485 0.9042
0.3373 0.9042 0.6485
0.1627 0.3515 0.0958
0.3143 0.7314 0.0322
0.1857 0.9678 0.2686
0.6857 0.2686 0.9678
0.8143 0.0322 0.7314
0.2500 0.1008 0.8992
0.7500 0.8992 0.1008
0.4084 0.5418 0.7865
0.0916 0.2135 0.4582
0.5916 0.4582 0.2135
0.9084 0.7865 0.5418
```

Properties
Energy relative to the elements, eV per atom: -0.062
Energy above the most stable polymorph in this dataset, meV per atom: 68
SG: C2/c, No. 15
Total DFT energy (no corrections), eV per atom: -3.920